{
  "formula": "Ba2LiGeS4",
  "functional": "PBE",
  "state": "relaxed",
  "lattice": [[0.000, 6.750, 11.530], [2.703, 0.000, 11.530], [2.703, 6.750, 0.000]],
  "species": ["Ba", "Ba", "Ba", "Ba", "Li", "Li", "Ge", "Ge", "S", "S", "S", "S", "S", "S", "S", "S"],
  "frac_coords": [[0.053, 0.053, 0.697], [0.303, 0.303, 0.947], [0.697, 0.697, 0.053], [0.947, 0.947, 0.303], [0.125, 0.125, 0.125], [0.875, 0.875, 0.875], [0.375, 0.375, 0.375], [0.625, 0.625, 0.625], [0.041, 0.319, 0.431], [0.292, 0.569, 0.681], [0.319, 0.041, 0.708], [0.431, 0.708, 0.041], [0.569, 0.292, 0.959], [0.681, 0.959, 0.292], [0.708, 0.431, 0.319], [0.959, 0.681, 0.569]],
  "sg": "Fddd",
  "dft_energy_ev_per_atom": -4.605
}

---

{
  "formula": "Zn6GaAg6",
  "functional": "PBE",
  "state": "relaxed",
  "lattice": [[5.108, 0.000, 0.000], [-2.554, 4.424, 0.000], [0.000, 0.000, 9.750]],
  "species": ["Zn", "Zn", "Zn", "Zn", "Zn", "Zn", "Ga", "Ag", "Ag", "Ag", "Ag", "Ag", "Ag"],
  "frac_coords": [[0.000, 0.500, 0.247], [0.000, 0.500, 0.753], [0.500, 0.000, 0.247], [0.500, 0.000, 0.753], [0.500, 0.500, 0.247], [0.500, 0.500, 0.753], [0.000, 0.000, 0.000], [0.000, 0.000, 0.359], [0.000, 0.000, 0.641], [0.333, 0.667, 0.000], [0.333, 0.667, 0.500], [0.667, 0.333, 0.000], [0.667, 0.333, 0.500]],
  "ef_ev_per_atom": 0.00,
  "sg": "P6/mmm"
}

---

{
  "formula": "V2CrNi",
  "functional": "PBE",
  "state": "relaxed",
  "lattice": [[4.052, 0.000, 0.000], [0.000, 4.052, 0.000], [0.000, 0.000, 2.991]],
  "species": ["V", "V", "Cr", "Ni"],
  "frac_coords": [[0.000, 0.500, 0.000], [0.500, 0.000, 0.000], [0.000, 0.000, 0.500], [0.500, 0.500, 0.500]],
  "ef_ev_per_atom": -0.07,
  "sg": "P4/mmm"
}

---

{
  "formula": "LiBe2Cd",
  "functional": "PBE",
  "state": "relaxed",
  "lattice": [[2.571, 0.000, 0.000], [0.000, 4.120, 0.000], [-0.988, 0.000, 4.893]],
  "species": ["Li", "Be", "Be", "Cd"],
  "frac_coords": [[0.000, 0.000, 0.000], [0.206, 0.500, 0.797], [0.794, 0.500, 0.203], [0.500, 0.000, 0.500]],
  "ef_ev_per_atom": 0.29,
  "sg": "P2/m"
}